1.
Density functional theory data (PBE-GGA) for a relaxed structure of Nd3SmMg6.

Cell and atoms, written as CIF:
```
data_Nd3SmMg6
_symmetry_space_group_name_H-M 'P 1 21/m 1'
_symmetry_Int_Tables_number 11
_cell_length_a 9.4757
_cell_length_b 5.3501
_cell_length_c 11.4426
_cell_angle_alpha 90.00
_cell_angle_beta 105.46
_cell_angle_gamma 90.00
loop_
_symmetry_equiv_pos_as_xyz
'x,y,z'
'-x,-y,-z'
'-x,y+1/2,-z'
'x,-y+1/2,z'
loop_
_atom_site_label
_atom_site_type_symbol
_atom_site_fract_x
_atom_site_fract_y
_atom_site_fract_z
Nd1 Nd 0.0365 0.2500 0.3951
Nd2 Nd 0.1490 0.7500 0.2077
Nd3 Nd 0.2565 0.2500 0.0057
Sm1 Sm 0.4483 0.2500 0.6053
Mg1 Mg 0.0606 0.7500 0.9018
Mg2 Mg 0.1652 0.2500 0.7087
Mg3 Mg 0.2611 0.7500 0.5113
Mg4 Mg 0.3553 0.7500 0.8067
Mg5 Mg 0.3599 0.2500 0.3048
Mg6 Mg 0.4536 0.7500 0.1001
```

2.
Density functional theory data (PBE-GGA) for a relaxed structure of Tb8PrIn6.

Cell and atoms, written as CIF:
```
data_Tb8PrIn6
_symmetry_space_group_name_H-M 'R -3'
_symmetry_Int_Tables_number 148
_symmetry_space_group_name_Hall '-R 3'
_cell_length_a 9.1247
_cell_length_b 9.1247
_cell_length_c 19.5005
_cell_angle_alpha 90.00
_cell_angle_beta 90.00
_cell_angle_gamma 120.00
loop_
_atom_site_label
_atom_site_type_symbol
_atom_site_fract_x
_atom_site_fract_y
_atom_site_fract_z
Tb1 Tb 0.0000 0.0000 0.1676
Tb2 Tb 0.0011 0.3322 0.6135
Pr1 Pr 0.0000 0.0000 0.5000
In1 In 0.9998 0.3394 0.4414
```

3.
Density functional theory data (PBE-GGA) for a relaxed structure of Ac2HoNiSe5.

Cell and atoms, written as CIF:
```
data_Ac2HoNiSe5
_symmetry_space_group_name_H-M 'C m c 21'
_symmetry_Int_Tables_number 36
_cell_length_a 4.1425
_cell_length_b 17.7963
_cell_length_c 12.7534
_cell_angle_alpha 90.00
_cell_angle_beta 90.00
_cell_angle_gamma 90.00
loop_
_symmetry_equiv_pos_as_xyz
'x,y,z'
'-x,-y,z+1/2'
'-x,y,z'
'x,-y,z+1/2'
'x+1/2,y+1/2,z'
'-x+1/2,-y+1/2,z+1/2'
'-x+1/2,y+1/2,z'
'x+1/2,-y+1/2,z+1/2'
loop_
_atom_site_label
_atom_site_type_symbol
_atom_site_fract_x
_atom_site_fract_y
_atom_site_fract_z
Ac1 Ac 0.0000 0.1161 0.0000
Ac2 Ac 0.0000 0.1226 0.3542
Ho1 Ho 0.0000 0.1768 0.6785
Ni1 Ni 0.0000 0.4418 0.0821
Se1 Se 0.0000 0.0204 0.6675
Se2 Se 0.0000 0.3060 0.3363
Se3 Se 0.0000 0.3094 0.0227
Se4 Se 0.0000 0.3395 0.6754
Se5 Se 0.0000 0.5001 0.4124
```

## Properties
**Formation energy without anion corrections**: -1.655 eV per atom

no.,raw total energy (eV/atom)
1,-2.946
2,-4.102
3,-5.654